CrSe3O9 after structural relaxation, computed with PBE with a Hubbard U.

Cell: 14.1501 7.7840 9.3382 Å, 90.00 127.86 90.00°
Closest atoms and distances in Å follow each position.
Space group Cc (No. 9)
Inequivalent atoms, fractional coordinates:
Cr1 0.0000 0.2452 0.0000 x4  6 O 1.88-2.01
Se1 0.0804 0.4589 0.7961 x4  3 O 1.72-1.82
Se2 0.2486 0.0051 0.2556 x4  4 O 1.62-1.76
Se3 0.3762 0.4753 0.6408 x4  3 O 1.71-1.84
O1 0.0568 0.4606 0.9558 x4  1 Se 1.72
O2 0.0645 0.3248 0.2460 x4  1 Se 1.72
O3 0.1484 0.1523 0.0840 x4  1 Se 1.76, 1 Cr 1.88
O4 0.1865 0.0911 0.8325 x4  1 Se 1.62
O5 0.2416 0.4405 0.9273 x4  2 Se 1.82-1.84
O6 0.3078 0.1106 0.6838 x4  1 Se 1.63
O7 0.3518 0.1530 0.4196 x4  1 Se 1.75, 1 Cr 1.91
O8 0.4277 0.3297 0.2491 x4  1 Se 1.72
O9 0.4508 0.4678 0.5500 x4  1 Se 1.71

Calculated values
For the total energy, the calculation gives -291.53 eV for the cell shown. The value obtained for the density of states at the Fermi level is 1.47 states/eV/f.u.